No. 1
A geometry-optimized BeAl2HgI8 structure, computed with PBE.

Unit cell a=7.6728 b=8.7238 c=10.7400 alpha=67.59 beta=69.07 gamma=63.91
Last column: nearest neighbours and their distance in Å.
Sites, in units of the cell vectors:
I 0.6696 0.5707 0.0902  1 Al 2.49
Al 0.6785 0.7862 0.8569  4 I 2.49-2.67
I 0.8634 0.0078 0.8093  1 Be 2.58, 1 Al 2.67
I 0.3304 0.4293 0.9098  1 Al 2.49
I 0.8429 0.6663 0.6479  1 Al 2.52
I 0.3195 0.0078 0.8093  1 Be 2.58, 1 Al 2.67
I 0.6805 0.9922 0.1907  1 Be 2.58, 1 Al 2.67
I 0.1366 0.9922 0.1907  1 Be 2.58, 1 Al 2.67
Al 0.3215 0.2138 0.1431  4 I 2.49-2.67
Be 0.0000 0.0000 0.0000  4 I 2.58
I 0.1571 0.3337 0.3521  1 Al 2.52
Hg 0.5000 0.5000 0.5000  6 I 4.00-4.43

Computed properties:
Total moment   0.0 μB/cell
Total energy   -2.41 eV/atom

---

No. 2
A geometry-optimized K2BeAlHg structure, computed with PBE.

Unit cell a=6.2602 b=4.5820 c=6.2602 alpha=90.00 beta=90.00 gamma=90.00
Last column: nearest neighbours and their distance in Å.
Sites, in units of the cell vectors:
K 0.0000 0.0000 0.5000  2 Be 3.13
Hg 0.0000 0.5000 0.0000  2 Be 2.29
Be 0.0000 0.0000 0.0000  2 Hg 2.29
K 0.5000 0.0000 0.0000  2 Be 3.13
Al 0.5000 0.5000 0.5000  8 K 3.88

Computed properties:
ΔE_f   0.54 eV per atom
Total moment   0.0 μB/cell
Total energy   -1.45 eV/atom

---

No. 3
A geometry-optimized BeAlHgMo2 structure, computed with PBE.

Unit cell a=5.1089 b=4.1471 c=5.1089 alpha=90.00 beta=90.00 gamma=90.00
Last column: nearest neighbours and their distance in Å.
Sites, in units of the cell vectors:
Mo 0.5000 0.0000 0.0000  2 Hg 2.55
Mo 0.0000 0.0000 0.5000  2 Hg 2.55
Hg 0.0000 0.0000 0.0000  2 Be 2.07
Al 0.5000 0.5000 0.5000  8 Mo 3.29, 4 Be 3.61
Be 0.0000 0.5000 0.0000  2 Hg 2.07

Computed properties:
ΔE_f   1.85 eV per atom
Total moment   4.0 μB/cell
Total energy   -4.04 eV/atom

---

No. 4
A geometry-optimized NaBe2AlHg structure, computed with PBE.

Unit cell a=4.7720 b=5.1650 c=4.7720 alpha=90.00 beta=90.00 gamma=90.00
Last column: nearest neighbours and their distance in Å.
Sites, in units of the cell vectors:
Al 0.5000 0.5000 0.5000  4 Hg 3.37, 8 Be 3.52
Be 0.0000 0.0000 0.5000  2 Na 2.39
Na 0.0000 0.0000 0.0000  4 Be 2.39, 2 Hg 2.58
Be 0.5000 0.0000 0.0000  2 Na 2.39
Hg 0.0000 0.5000 0.0000  2 Na 2.58

Computed properties:
ΔE_f   1.45 eV per atom
Total moment   0.0 μB/cell
Total energy   -1.11 eV/atom